Computed, not measured: a relaxed HoIn2GaI6 crystal at the PBE level of DFT.

a = 8.4551 Å, b = 8.4552 Å, c = 8.7478 Å
α = 61.09°, β = 61.09°, γ = 59.98°
With the nearest neighbours (Å) after each atom.
Sites, in units of the cell vectors:
I 0.6760 0.1059 0.7692  1 Ho 3.06, 1 Ga 3.26
I 0.4489 0.6758 0.7691  1 Ho 3.06, 1 Ga 3.26
I 0.1060 0.4490 0.7691  1 Ho 3.06, 1 Ga 3.26
I 0.9838 0.5715 0.2544  1 Ho 3.02
I 0.1903 0.9838 0.2545  1 Ho 3.02
I 0.5713 0.1903 0.2546  1 Ho 3.02
Ho 0.3247 0.3247 0.0259  6 I 3.02-3.06
In 0.5251 0.5249 0.4250  6 I 3.48-3.58
In 0.0172 0.0173 0.9485  6 I 3.47-3.52
Ga 0.8183 0.8184 0.5448  6 I 3.26-3.40

For the formation energy without anion corrections, the calculation gives -8.0 eV per formula unit. As for the volume: 449.26 Å³/cell. As for the size of the total moment: 0.00 Bohr magnetons per cell. The value obtained for the total energy is -3.03 eV per atom.